An optimized crystal structure of ZnPd2Pt2. Source: the Alexandria database, functional PBE.

Lattice parameters (Å, degrees): 2.790 3.917 7.347 105.46 100.93 90.00
Positions (direct):
Pd  0.300  0.301  0.601
Zn  0.500  0.500  0.000
Pd  0.700  0.699  0.399
Pt  0.097  0.097  0.194
Pt  0.903  0.903  0.806

Computed properties:
ΔH_f (0 K)   -251 meV/atom
Excess energy over the best structure of this formula in the dataset   0 meV per atom

An optimized crystal structure of NpCuPO. Source: the Alexandria database, functional PBE.

Lattice parameters (Å, degrees): 3.772 3.772 8.192 90.00 90.00 90.00
Positions (direct):
O  0.500  0.500  0.500
Np  0.500  0.000  0.659
P  0.500  0.000  0.176
Cu  0.000  0.000  0.000
Cu  0.500  0.500  0.000
O  0.000  0.000  0.500
Np  0.000  0.500  0.341
P  0.000  0.500  0.824

Computed properties:
Formation energy without anion corrections   -6.1 eV/f.u.